Entry 1:
This record from Alexandria describes a relaxed MnGaF3 crystal. The functional is GGA+U.

CIF file:
```
data_MnGaF3
_chemical_formula_sum 'Mn1 Ga1 F3'
_space_group_name_H-M_alt 'P m -3 m'
_space_group_IT_number 221
_space_group_name_Hall '-P 4 2 3'
_cell_length_a 4.2484
_cell_length_b 4.2484
_cell_length_c 4.2484
_cell_angle_alpha 90.00
_cell_angle_beta 90.00
_cell_angle_gamma 90.00
loop_
_atom_site_label
_atom_site_fract_x
_atom_site_fract_y
_atom_site_fract_z
Mn1 0.0000 0.0000 0.0000
Ga1 0.5000 0.5000 0.5000
F1 0.0000 0.0000 0.5000
```

Calculated values
The calculation puts the offset from the most stable computed form at 0.0 meV per atom. The density of states at the Fermi level is 0.0 states/eV per cell.

Entry 2:
This record from Alexandria describes a relaxed MnGa3F crystal. The functional is GGA+U.

CIF file:
```
data_MnGa3F
_chemical_formula_sum 'Mn1 Ga3 F1'
_space_group_name_H-M_alt 'P m -3 m'
_space_group_IT_number 221
_space_group_name_Hall '-P 4 2 3'
_cell_length_a 4.7416
_cell_length_b 4.7416
_cell_length_c 4.7416
_cell_angle_alpha 90.00
_cell_angle_beta 90.00
_cell_angle_gamma 90.00
loop_
_atom_site_label
_atom_site_fract_x
_atom_site_fract_y
_atom_site_fract_z
Mn1 0.0000 0.0000 0.0000
Ga1 0.0000 0.5000 0.5000
F1 0.5000 0.5000 0.5000
```

Calculated values
The calculation puts the offset from the most stable computed form at 0.0 meV per atom. The density of states at the Fermi level is 3.0 states/eV per cell.

Entry 3:
This record from Alexandria describes a relaxed Mn3GaF crystal. The functional is GGA+U.

CIF file:
```
data_Mn3GaF
_chemical_formula_sum 'Mn3 Ga1 F1'
_space_group_name_H-M_alt 'P m -3 m'
_space_group_IT_number 221
_space_group_name_Hall '-P 4 2 3'
_cell_length_a 5.0058
_cell_length_b 5.0058
_cell_length_c 5.0058
_cell_angle_alpha 90.00
_cell_angle_beta 90.00
_cell_angle_gamma 90.00
loop_
_atom_site_label
_atom_site_fract_x
_atom_site_fract_y
_atom_site_fract_z
Mn1 0.0000 0.0000 0.5000
Ga1 0.0000 0.0000 0.0000
F1 0.5000 0.5000 0.5000
```

Calculated values
The density of states at the Fermi level is 0.3 states/eV per cell. The raw total energy comes out at -5.2362 eV per atom.

Entry 4:
This record from Alexandria describes a relaxed MnGa2F crystal. The functional is GGA+U.

CIF file:
```
data_MnGa2F
_chemical_formula_sum 'Mn4 Ga8 F4'
_space_group_name_H-M_alt 'F m -3 m'
_space_group_IT_number 225
_space_group_name_Hall '-F 4 2 3'
_cell_length_a 6.6069
_cell_length_b 6.6069
_cell_length_c 6.6069
_cell_angle_alpha 90.00
_cell_angle_beta 90.00
_cell_angle_gamma 90.00
loop_
_atom_site_label
_atom_site_fract_x
_atom_site_fract_y
_atom_site_fract_z
Mn1 0.0000 0.0000 0.0000
Ga1 0.2500 0.2500 0.2500
F1 0.0000 0.0000 0.5000
```

Calculated values
The calculation puts the offset from the most stable computed form at 115.4 meV per atom. The density of states at the Fermi level is 7.9 states/eV per cell.